Ta2Ru | PBE-GGA | relaxed

```
Ta2Ru
1.0
3.8236 0.0000 0.0000
0.0000 3.8236 0.0000
-1.9118 -1.9118 13.9059
Ta Ru
8 4
Cartesian
0.0000 0.0000 11.5637
1.9118 0.0000 9.2951
1.9118 0.0000 4.6108
1.9118 1.9118 2.3422
1.9118 0.0000 13.8680
1.9118 1.9118 6.9150
0.0000 0.0000 6.9908
1.9118 0.0000 0.0379
0.0000 1.9118 4.5920
0.0000 1.9118 9.3138
0.0000 0.0000 2.3609
1.9118 1.9118 11.5450
```

Summary:
Formation energy from the elements   -61 meV per atom
D(E_F)   1.046 states/eV per atom
Total magnetization   0.00 μB per formula unit